A plane-wave DFT calculation with PBE was carried out for a relaxed CuAuF4 crystal.

abc: 6.7907 6.7907 5.8308
angles: 75.32 75.32 99.79
Closest atoms and distances in Å follow each position.
Atoms (fractional coordinates):
1 Cu 0.5000 0.0000 0.5000  4 F 1.90
2 Cu 0.0000 0.5000 0.0000  4 F 1.90
3 Au 0.0443 0.9557 0.2500  4 F 2.10-2.13
4 Au 0.9557 0.0443 0.7500  4 F 2.10-2.13
5 F 0.0195 0.6482 0.2322  1 Cu 1.90, 1 Au 2.10
6 F 0.3518 0.9805 0.2678  1 Cu 1.90, 1 Au 2.10
7 F 0.9805 0.3518 0.7678  1 Cu 1.90, 1 Au 2.10
8 F 0.6482 0.0195 0.7322  1 Cu 1.90, 1 Au 2.10
9 F 0.0737 0.2807 0.2092  1 Cu 1.90
10 F 0.7193 0.9263 0.2908  1 Cu 1.90
11 F 0.9263 0.7193 0.7908  1 Cu 1.90
12 F 0.2807 0.0737 0.7092  1 Cu 1.90

## Properties
formation energy from raw total energies	-1.1423	eV/atom
SG	C2/c

---

A plane-wave DFT calculation with PBE was carried out for a relaxed RbTl2Bi2 crystal.

abc: 9.7415 9.7415 3.9599
angles: 90.00 90.00 90.00
Closest atoms and distances in Å follow each position.
Atoms (fractional coordinates):
1 Tl 0.1606 0.6606 0.5000  6 Bi 3.37-3.66
2 Tl 0.6606 0.8394 0.5000  6 Bi 3.37-3.66
3 Tl 0.8394 0.3394 0.5000  6 Bi 3.37-3.66
4 Tl 0.3394 0.1606 0.5000  6 Bi 3.37-3.66
5 Bi 0.3837 0.8837 0.0000  1 Bi 3.21, 4 Tl 3.37
6 Bi 0.8837 0.6163 0.0000  1 Bi 3.21, 4 Tl 3.37
7 Bi 0.6163 0.1163 0.0000  1 Bi 3.21, 4 Tl 3.37
8 Bi 0.1163 0.3837 0.0000  1 Bi 3.21, 4 Tl 3.37
9 Rb 0.0000 0.0000 0.0000  4 Bi 3.91, 2 Rb 3.96, 8 Tl 4.16
10 Rb 0.5000 0.5000 0.0000  4 Bi 3.91, 2 Rb 3.96, 8 Tl 4.16

## Properties
energy of formation	-0.106	eV per atom
SG	P4/mbm
energy relative to the lowest polymorph listed for this composition	0.067	eV/atom

---

A plane-wave DFT calculation with PBE was carried out for a relaxed Nd3Dy crystal.

abc: 5.1660 5.1660 6.3111
angles: 114.16 114.16 90.00
Closest atoms and distances in Å follow each position.
Atoms (fractional coordinates):
1 Nd 0.7500 0.2500 0.5000  8 Nd 3.65, 4 Dy 3.65
2 Nd 0.2500 0.7500 0.5000  4 Dy 3.65, 8 Nd 3.65
3 Nd 0.5000 0.5000 0.0000  8 Nd 3.65, 4 Dy 3.65
4 Dy 0.0000 0.0000 0.0000  12 Nd 3.65

## Properties
energy of formation	0.015	eV per atom
SG	I4/mmm
energy relative to the lowest polymorph listed for this composition	0.000	eV/atom

---

A plane-wave DFT calculation with PBE was carried out for a relaxed Tb3Pr2ErAs6 crystal.

abc: 4.1897 8.3735 9.3615
angles: 102.93 102.93 90.00
Closest atoms and distances in Å follow each position.
Atoms (fractional coordinates):
1 Tb 0.5000 0.5000 0.0000  6 As 2.92-2.98
2 Tb 0.8327 0.1658 0.6655  6 As 2.92-2.97
3 Tb 0.1673 0.8342 0.3345  6 As 2.92-2.97
4 Pr 0.8346 0.6685 0.6691  6 As 2.99-3.02
5 Pr 0.1654 0.3315 0.3309  6 As 2.99-3.02
6 Er 0.5000 0.0000 0.0000  6 As 2.94-2.95
7 As 0.3347 0.9247 0.6694  3 Tb 2.92-2.97, 1 Er 2.94, 2 Pr 3.00
8 As 0.6644 0.5890 0.3288  3 Tb 2.92-2.93, 3 Pr 3.01-3.02
9 As 0.6653 0.0753 0.3306  3 Tb 2.92-2.97, 1 Er 2.94, 2 Pr 3.00
10 As 0.9971 0.2457 0.9942  3 Tb 2.92-2.98, 2 Er 2.95, 1 Pr 2.99
11 As 0.0029 0.7543 0.0058  3 Tb 2.92-2.98, 2 Er 2.95, 1 Pr 2.99
12 As 0.3356 0.4110 0.6712  3 Tb 2.92-2.93, 3 Pr 3.01-3.02

## Properties
energy of formation	-1.511	eV per atom
SG	C2/m

---

A plane-wave DFT calculation with PBE was carried out for a relaxed Y2ZrPt2 crystal.

abc: 7.1364 7.1364 4.4974
angles: 90.00 90.00 90.00
Closest atoms and distances in Å follow each position.
Atoms (fractional coordinates):
1 Y 0.1698 0.6698 0.5000  6 Pt 2.96-3.16
2 Y 0.6698 0.8302 0.5000  6 Pt 2.96-3.16
3 Y 0.8302 0.3302 0.5000  6 Pt 2.96-3.16
4 Y 0.3302 0.1698 0.5000  6 Pt 2.96-3.16
5 Zr 0.0000 0.0000 0.0000  4 Pt 2.76
6 Zr 0.5000 0.5000 0.0000  4 Pt 2.76
7 Pt 0.3608 0.8608 0.0000  2 Zr 2.76, 1 Pt 2.81, 2 Y 2.96
8 Pt 0.8608 0.6392 0.0000  2 Zr 2.76, 1 Pt 2.81, 2 Y 2.96
9 Pt 0.6392 0.1392 0.0000  2 Zr 2.76, 1 Pt 2.81, 2 Y 2.96
10 Pt 0.1392 0.3608 0.0000  2 Zr 2.76, 1 Pt 2.81, 2 Y 2.96

## Properties
energy of formation	-0.959	eV per atom
SG	P4/mbm
energy relative to the lowest polymorph listed for this composition	0.000	eV/atom

---

A plane-wave DFT calculation with PBE was carried out for a relaxed Tb3Nd6Ho2Sc crystal.

abc: 6.2428 6.2428 11.7760
angles: 95.06 95.06 120.00
Closest atoms and distances in Å follow each position.
Atoms (fractional coordinates):
1 Tb 0.1666 0.8334 0.5000  6 Nd 3.59-3.61, 6 Tb 3.60
2 Tb 0.8334 0.1666 0.5000  6 Nd 3.59-3.61, 6 Tb 3.60
3 Tb 0.5000 0.5000 0.5000  6 Nd 3.60-3.61, 6 Tb 3.60
4 Nd 0.9181 0.5876 0.7537  1 Sc 3.52, 2 Ho 3.54, 6 Nd 3.57-3.62, 3 Tb 3.60-3.61
5 Nd 0.7513 0.7513 0.2467  1 Sc 3.53, 2 Ho 3.54, 6 Nd 3.58-3.62, 3 Tb 3.59-3.61
6 Nd 0.0819 0.4124 0.2463  1 Sc 3.52, 2 Ho 3.54, 6 Nd 3.57-3.62, 3 Tb 3.60-3.61
7 Nd 0.5876 0.9181 0.7537  1 Sc 3.52, 2 Ho 3.54, 6 Nd 3.57-3.62, 3 Tb 3.60-3.61
8 Nd 0.2487 0.2487 0.7533  1 Sc 3.53, 2 Ho 3.54, 6 Nd 3.58-3.62, 3 Tb 3.59-3.61
9 Nd 0.4124 0.0819 0.2463  1 Sc 3.52, 2 Ho 3.54, 6 Nd 3.57-3.62, 3 Tb 3.60-3.61
10 Ho 0.3334 0.6666 0.0000  6 Nd 3.54, 3 Ho 3.60-3.61, 3 Sc 3.60-3.61
11 Ho 0.6666 0.3334 0.0000  6 Nd 3.54, 3 Ho 3.60-3.61, 3 Sc 3.60-3.61
12 Sc 0.0000 0.0000 0.0000  6 Nd 3.52-3.53, 6 Ho 3.60-3.61

## Properties
energy of formation	0.023	eV per atom
SG	C2/m

---

A plane-wave DFT calculation with PBE was carried out for a relaxed Si2MoCI crystal.

abc: 5.0112 4.0533 5.0112
angles: 90.00 90.00 90.00
Closest atoms and distances in Å follow each position.
Atoms (fractional coordinates):
1 I 0.5000 0.5000 0.5000  8 Si 3.22, 4 C 3.54
2 C 0.0000 0.5000 0.0000  2 Mo 2.03
3 Mo 0.0000 0.0000 0.0000  2 C 2.03
4 Si 0.0000 0.0000 0.5000  2 Mo 2.51
5 Si 0.5000 0.0000 0.0000  2 Mo 2.51

## Properties
formation energy from raw total energies	0.9898	eV/atom
SG	P4/mmm

---

A plane-wave DFT calculation with PBE was carried out for a relaxed Sr2AlSbAu6 crystal.

abc: 5.9481 9.4488 8.8310
angles: 90.00 90.00 90.00
Closest atoms and distances in Å follow each position.
Atoms (fractional coordinates):
1 Sr 0.5000 0.7374 0.2544  9 Au 3.32-3.66, 2 Sb 3.69
2 Sr 0.0000 0.2626 0.7544  9 Au 3.32-3.66, 2 Sb 3.69
3 Sr 0.5000 0.7374 0.7456  9 Au 3.32-3.66, 2 Sb 3.69
4 Sr 0.0000 0.2626 0.2456  9 Au 3.32-3.66, 2 Sb 3.69
5 Al 0.5000 0.2460 0.5000  6 Au 2.53-2.63
6 Al 0.0000 0.7540 0.0000  6 Au 2.53-2.63
7 Sb 0.0000 0.7074 0.5000  4 Au 2.75-2.77
8 Sb 0.5000 0.2926 0.0000  4 Au 2.75-2.77
9 Au 0.5000 0.1071 0.2424  1 Al 2.63, 1 Sb 2.77, 4 Au 2.86
10 Au 0.5000 0.1071 0.7576  1 Al 2.63, 1 Sb 2.77, 4 Au 2.86
11 Au 0.0000 0.8929 0.2576  1 Al 2.63, 1 Sb 2.77, 4 Au 2.86
12 Au 0.0000 0.8929 0.7424  1 Al 2.63, 1 Sb 2.77, 4 Au 2.86
13 Au 0.2397 0.0264 0.5000  1 Al 2.59, 5 Au 2.85-2.86
14 Au 0.7603 0.0264 0.5000  1 Al 2.59, 5 Au 2.85-2.86
15 Au 0.2564 0.4651 0.5000  1 Al 2.53, 1 Sb 2.75
16 Au 0.7436 0.4651 0.5000  1 Al 2.53, 1 Sb 2.75
17 Au 0.7564 0.5349 0.0000  1 Al 2.53, 1 Sb 2.75
18 Au 0.2436 0.5349 0.0000  1 Al 2.53, 1 Sb 2.75
19 Au 0.2603 0.9736 0.0000  1 Al 2.59, 5 Au 2.85-2.86
20 Au 0.7397 0.9736 0.0000  1 Al 2.59, 5 Au 2.85-2.86

## Properties
formation energy from raw total energies	-0.5555	eV/atom
SG	Pmmn

---

A plane-wave DFT calculation with PBE was carried out for a relaxed Pm7MgSn2 crystal.

abc: 5.3856 5.3856 13.1477
angles: 90.00 90.00 120.00
Closest atoms and distances in Å follow each position.
Atoms (fractional coordinates):
1 Pm 0.6667 0.3333 0.5917  4 Sn 3.12-3.39, 1 Pm 3.38
2 Pm 0.6667 0.3333 0.8491  8 Pm 3.38-3.53, 3 Mg 3.67, 3 Sn 3.72
3 Pm 0.0000 0.0000 0.7348  3 Sn 3.16, 3 Pm 3.45, 1 Mg 3.46
4 Pm 0.0000 0.0000 0.2660  3 Sn 3.32, 1 Mg 3.53, 3 Pm 3.69
5 Pm 0.3333 0.6667 0.4372  4 Sn 3.29-3.37
6 Pm 0.3333 0.6667 0.9767  3 Mg 3.12
7 Pm 0.6667 0.3333 0.1153  1 Sn 3.14, 3 Mg 3.47, 1 Pm 3.50
8 Mg 0.0000 0.0000 0.9976  7 Pm 3.12-3.47
9 Sn 0.3333 0.6667 0.6938  7 Pm 3.16-3.39
10 Sn 0.6667 0.3333 0.3544  8 Pm 3.12-3.32

## Properties
energy of formation	-0.194	eV per atom
SG	P3m1

---

A plane-wave DFT calculation with PBE was carried out for a relaxed ErTmHg6 crystal.

abc: 4.9922 6.5690 6.5690
angles: 118.66 90.00 90.00
Closest atoms and distances in Å follow each position.
Atoms (fractional coordinates):
1 Er 0.5000 0.4074 0.5926  12 Hg 3.14-3.35
2 Tm 0.0000 0.0926 0.9074  12 Hg 3.13-3.35
3 Hg 0.0000 0.0795 0.4071  8 Hg 3.13-3.44, 2 Er 3.14, 2 Tm 3.25-3.32
4 Hg 0.0000 0.5929 0.9205  8 Hg 3.13-3.44, 2 Er 3.14, 2 Tm 3.25-3.32
5 Hg 0.0000 0.5788 0.4212  8 Hg 3.13-3.33, 2 Er 3.16, 2 Tm 3.35
6 Hg 0.5000 0.4193 0.0925  2 Tm 3.13, 8 Hg 3.13-3.43, 2 Er 3.25-3.32
7 Hg 0.5000 0.9075 0.5807  2 Tm 3.13, 8 Hg 3.13-3.43, 2 Er 3.25-3.32
8 Hg 0.5000 0.9217 0.0783  8 Hg 3.13-3.35, 2 Tm 3.16, 2 Er 3.35

## Properties
energy of formation	-0.312	eV per atom
SG	Amm2
energy relative to the lowest polymorph listed for this composition	0.000	eV/atom

---

A plane-wave DFT calculation with PBE was carried out for a relaxed KLiFe2 crystal.

abc: 4.7329 4.7329 4.7329
angles: 120.05 120.05 89.92
Closest atoms and distances in Å follow each position.
Atoms (fractional coordinates):
1 Fe 0.0000 0.0000 0.0000  4 Fe 2.90, 4 Li 2.90
2 Fe 0.2500 0.7500 0.5000  4 Fe 2.90, 4 K 2.90
3 K 0.5000 0.5000 0.0000  4 Fe 2.90, 4 Li 2.90
4 Li 0.7500 0.2500 0.5000  4 K 2.90, 4 Fe 2.90

## Properties
energy of formation	1.064	eV per atom
SG	F-43m
energy relative to the lowest polymorph listed for this composition	0.520	eV/atom

---

A plane-wave DFT calculation with PBE was carried out for a relaxed Ta3ZnSi crystal.

abc: 4.6439 4.6439 4.6439
angles: 90.00 90.00 90.00
Closest atoms and distances in Å follow each position.
Atoms (fractional coordinates):
1 Zn 0.5000 0.5000 0.5000  12 Ta 3.28
2 Si 0.0000 0.0000 0.0000  6 Ta 2.32
3 Ta 0.0000 0.5000 0.0000  2 Si 2.32
4 Ta 0.0000 0.0000 0.5000  2 Si 2.32
5 Ta 0.5000 0.0000 0.0000  2 Si 2.32

## Properties
formation energy from raw total energies	0.8666	eV/atom
SG	Pm-3m
energy relative to the lowest polymorph listed for this composition	0.000	eV/atom

---

| no. | DFT total energy (eV per atom) |
| --- | --- |
| 1 | -3.62 |
| 2 | -2.80 |
| 3 | -4.71 |
| 4 | -6.17 |
| 5 | -7.67 |
| 6 | -4.81 |
| 7 | -5.50 |
| 8 | -3.64 |
| 9 | -4.48 |
| 10 | -1.67 |
| 11 | -3.92 |
| 12 | -7.58 |